{
  "formula": "SrCaPb",
  "functional": "PBE",
  "state": "optimized geometry",
  "mass_density_g_cm3": 5.09,
  "crystal_system": "hexagonal",
  "magnetic_moment_mub_per_fu": 0.00,
  "formation_enthalpy_0k_mev_per_atom": -566.3,
  "dos_ef_per_ev_atom": 0.056,
  "cell": [[8.603, 0.000, 0.000], [-4.302, 7.451, 0.000], [0.000, 0.000, 5.115]],
  "species": ["Sr", "Sr", "Sr", "Ca", "Ca", "Ca", "Pb", "Pb", "Pb"],
  "fractional_positions": [[0.000, 0.579, 0.000], [0.421, 0.421, 0.000], [0.579, 0.000, 0.000], [0.000, 0.253, 0.500], [0.253, 0.000, 0.500], [0.747, 0.747, 0.500], [0.000, 0.000, 0.000], [0.333, 0.667, 0.500], [0.667, 0.333, 0.500]]
}